(1)
# Cd2CuIr

A relaxed structure of Cd2CuIr (GGA-PBE, the Alexandria database).

Cell: 3.0622 4.7812 9.1846 Å, 90.00 90.00 90.00°
With the nearest neighbours (Å) after each atom.
Space group Cmmm (No. 65)
Unique sites:
Cd 0.0000 0.0000 0.2445  2 Cu 2.72, 2 Ir 2.80, 4 Cd 2.84
Cu 0.0000 0.5000 0.0000  4 Cd 2.72, 4 Cu 2.84
Ir 0.0000 0.5000 0.5000  4 Cd 2.80, 6 Ir 2.84-3.06

=====

(2)
# Cd2CuIr

A relaxed structure of Cd2CuIr (GGA-PBE, the Alexandria database).

Cell: 2.9940 4.8028 9.5336 Å, 90.00 90.00 90.00°
With the nearest neighbours (Å) after each atom.
Space group Cmm2 (No. 35)
Unique sites:
Cd 0.0000 0.0000 0.0000  2 Ir 2.82, 6 Cd 2.83-2.99
Cd 0.0000 0.5000 0.2945  2 Cu 2.73, 6 Cd 2.83-2.99
Cu 0.0000 0.0000 0.5336  2 Ir 2.55, 2 Cd 2.73, 4 Cu 2.83
Ir 0.0000 0.5000 0.7496  2 Cu 2.55, 2 Cd 2.82, 4 Ir 2.83

=====

(3)
# Cd2CuIr

A relaxed structure of Cd2CuIr (GGA-PBE, the Alexandria database).

Cell: 3.1139 4.6144 9.4030 Å, 90.00 90.00 90.00°
With the nearest neighbours (Å) after each atom.
Space group Imm2 (No. 44)
Unique sites:
Cd 0.0000 0.0000 0.0000  4 Ir 2.80, 2 Cu 2.80, 6 Cd 3.03-3.12
Cd 0.0000 0.5000 0.2240  4 Cu 2.79, 2 Ir 2.88, 6 Cd 3.03-3.12
Cu 0.0000 0.5000 0.7477  2 Ir 2.58, 6 Cd 2.79-2.80
Ir 0.0000 0.0000 0.4664  2 Cu 2.58, 6 Cd 2.80-2.88

=====

(4)
# Cd2Cu2Ir

A relaxed structure of Cd2Cu2Ir (GGA-PBE, the Alexandria database).

Cell: 3.8840 3.8840 11.3190 Å, 90.00 90.00 90.00°
With the nearest neighbours (Å) after each atom.
Space group I4/mmm (No. 139)
Unique sites:
Cd 0.0000 0.5000 0.2500  4 Cu 2.61, 4 Cd 2.75
Cu 0.0000 0.0000 0.0963  1 Cu 2.18
Ir 0.0000 0.0000 0.5000  8 Cu 2.95

Properties
- Distance to the lowest polymorph of the same formula: 427 meV per atom

=====

(5)
# Cd2CuIr

A relaxed structure of Cd2CuIr (GGA-PBE, the Alexandria database).

Cell: 3.0104 4.3924 5.3528 Å, 90.00 102.49 90.00°
With the nearest neighbours (Å) after each atom.
Space group Pm (No. 6)
Unique sites:
Cd 0.0000 0.0000 0.0000  3 Ir 2.83-2.85, 4 Cu 2.83-2.88, 4 Cd 3.01-3.10
Cd 0.2640 0.5000 0.6500  3 Cu 2.81-2.88, 4 Ir 2.82-2.85, 4 Cd 3.01-3.10
Cu 0.5899 0.5000 0.1970  2 Ir 2.60, 7 Cd 2.81-2.88
Ir 0.6822 0.0000 0.4619  2 Cu 2.60, 7 Cd 2.82-2.85

=====

(6)
# Cd2CuIr

A relaxed structure of Cd2CuIr (GGA-PBE, the Alexandria database).

Cell: 3.9397 3.9397 18.9288 Å, 90.00 90.00 90.00°
With the nearest neighbours (Å) after each atom.
Space group I-42d (No. 122)
Unique sites:
Cd 0.2498 0.2500 0.1250  2 Cu 2.75, 2 Ir 2.75, 4 Cd 2.78-2.79
Cu 0.0000 0.0000 0.0000  4 Cd 2.75, 4 Ir 2.79
Ir 0.0000 0.0000 0.5000  4 Cd 2.75, 4 Cu 2.79

=====

(7)
# Cd2CuIr

A relaxed structure of Cd2CuIr (GGA-PBE, the Alexandria database).

Cell: 10.1177 3.0220 4.7493 Å, 90.00 110.40 90.00°
With the nearest neighbours (Å) after each atom.
Space group Cm (No. 8)
Unique sites:
Cd 0.0000 0.0000 0.0000  4 Cu 2.82-2.85, 3 Ir 2.85-2.86, 5 Cd 3.02-3.15
Cd 0.2182 0.0000 0.6444  4 Ir 2.82-2.85, 3 Cu 2.85-2.86, 5 Cd 3.02-3.15
Cu 0.4636 0.0000 0.4765  2 Ir 2.60, 7 Cd 2.82-2.86
Ir 0.2541 0.5000 0.1666  2 Cu 2.60, 7 Cd 2.82-2.86

=====

(8)
# Cd2CuIr

A relaxed structure of Cd2CuIr (GGA-PBE, the Alexandria database).

Cell: 4.0680 4.0680 8.0791 Å, 90.00 90.00 90.00°
With the nearest neighbours (Å) after each atom.
Space group I-4m2 (No. 119)
Unique sites:
Cd 0.0000 0.0000 0.0000  4 Cd 2.87, 4 Cu 2.87, 4 Ir 2.88
Cd 0.0000 0.5000 0.2500  4 Cd 2.87, 4 Ir 2.87, 4 Cu 2.88
Cu 0.0000 0.5000 0.7500  8 Cd 2.87-2.88, 4 Ir 2.87
Ir 0.0000 0.0000 0.5000  8 Cd 2.87-2.88, 4 Cu 2.87

=====

| no. | DFT total energy (eV/atom) | E_form (eV/atom) |
| --- | --- | --- |
| 1 | -3.471 | 0.226 |
| 2 | -3.443 | 0.254 |
| 3 | -3.561 | 0.136 |
| 4 | -3.116 | 0.661 |
| 5 | -3.546 | 0.151 |
| 6 | -3.216 | 0.480 |
| 7 | -3.574 | 0.123 |
| 8 | -3.541 | 0.156 |